MnAg2PbF6 | GGA+U | optimized geometry

a = 6.0088 Å, b = 6.1698 Å, c = 10.4960 Å
α = 90.00°, β = 124.16°, γ = 90.00°
Last column: nearest neighbours and their distance in Å.
Fractional positions:
Mn  0.0000  0.0000  0.0000  6 F 2.13-2.18
Mn  0.0000  0.5000  0.5000  6 F 2.13-2.18
Ag  0.2299  0.0629  0.7492  4 F 2.43-2.49
Ag  0.2299  0.4371  0.2492  4 F 2.43-2.49
Ag  0.7701  0.5629  0.7508  4 F 2.43-2.49
Ag  0.7701  0.9371  0.2508  4 F 2.43-2.49
Pb  0.5000  0.0000  0.5000  6 F 2.45-2.49
Pb  0.5000  0.5000  0.0000  6 F 2.45-2.49
F  0.0936  0.2076  0.4287  1 Mn 2.15
F  0.0936  0.2924  0.9287  1 Mn 2.15
F  0.2224  0.6745  0.4315  1 Mn 2.13
F  0.2224  0.8255  0.9315  1 Mn 2.13
F  0.3575  0.0632  0.2296  1 Mn 2.18
F  0.3575  0.4368  0.7296  1 Mn 2.18
F  0.6425  0.5632  0.2704  1 Mn 2.18
F  0.6425  0.9368  0.7704  1 Mn 2.18
F  0.7776  0.1745  0.0685  1 Mn 2.13
F  0.7776  0.3255  0.5685  1 Mn 2.13
F  0.9064  0.7076  0.0713  1 Mn 2.15
F  0.9064  0.7924  0.5713  1 Mn 2.15

Results
- E_tot (eV/atom) = -4.71
- calculated density (g cm⁻³) = 6.1
- density of states at the Fermi level (states/eV/atom) = 0.000